Record 1
RbTaGeF2 after structural relaxation. Source: Alexandria via LeMat-Bulk, functional PBE. Values from VASP.

* final energy: -4.41 eV per atom
* magnetization: 4.43 μB per formula unit
* energy relative to the elements, uncorrected: -0.172 eV/atom

The structure in Quantum ESPRESSO input format:
```
&SYSTEM
  ibrav = 0, nat = 5, ntyp = 4
/
ATOMIC_SPECIES
Rb 85.47 Rb.upf
Ta 180.95 Ta.upf
Ge 72.64 Ge.upf
F 19.00 F.upf
CELL_PARAMETERS angstrom
4.776 0.000 0.000
0.000 4.776 0.000
0.000 0.000 5.271
ATOMIC_POSITIONS crystal
Rb 0.000 0.000 0.000
Ta 0.500 0.500 0.000
Ge 0.500 0.500 0.500
F 0.000 0.500 0.500
F 0.500 0.000 0.500
```

***

Record 2
Rb2TaGeF6 after structural relaxation. Source: Alexandria via LeMat-Bulk, functional PBE. Values from VASP.

* final energy: -5.26 eV per atom
* magnetization: 1.00 μB per formula unit
* energy relative to the elements, uncorrected: -2.302 eV/atom

The structure in Quantum ESPRESSO input format:
```
&SYSTEM
  ibrav = 0, nat = 10, ntyp = 4
/
ATOMIC_SPECIES
Rb 85.47 Rb.upf
Ta 180.95 Ta.upf
Ge 72.64 Ge.upf
F 19.00 F.upf
CELL_PARAMETERS angstrom
-3.110 3.110 5.737
3.110 -3.110 5.737
3.110 3.110 -5.737
ATOMIC_POSITIONS crystal
Rb 0.250 0.750 0.500
Rb 0.750 0.250 0.500
Ta 0.000 0.000 0.000
Ge 0.500 0.500 0.000
F 0.172 0.172 0.000
F 0.230 0.230 0.460
F 0.230 0.770 0.000
F 0.770 0.230 0.000
F 0.770 0.770 0.540
F 0.828 0.828 0.000
```

***

Record 3
RbTi2GeF after structural relaxation. Source: Alexandria via LeMat-Bulk, functional PBE. Values from VASP.

* final energy: -4.68 eV per atom
* magnetization: 0.10 μB per formula unit
* energy relative to the elements, uncorrected: -0.029 eV/atom

The structure in Quantum ESPRESSO input format:
```
&SYSTEM
  ibrav = 0, nat = 5, ntyp = 4
/
ATOMIC_SPECIES
Rb 85.47 Rb.upf
Ti 47.87 Ti.upf
Ge 72.64 Ge.upf
F 19.00 F.upf
CELL_PARAMETERS angstrom
4.451 0.000 0.000
0.000 4.451 0.000
0.000 0.000 4.950
ATOMIC_POSITIONS crystal
Rb 0.000 0.000 0.000
Ti 0.000 0.500 0.500
Ti 0.500 0.000 0.500
Ge 0.500 0.500 0.000
F 0.000 0.000 0.500
```

***

Record 4
Rb2TiGeF6 after structural relaxation. Source: Alexandria via LeMat-Bulk, functional PBE. Values from VASP.

* final energy: -5.15 eV per atom
* magnetization: 2.00 μB per formula unit
* energy relative to the elements, uncorrected: -2.582 eV/atom

The structure in Quantum ESPRESSO input format:
```
&SYSTEM
  ibrav = 0, nat = 10, ntyp = 4
/
ATOMIC_SPECIES
Rb 85.47 Rb.upf
Ti 47.87 Ti.upf
Ge 72.64 Ge.upf
F 19.00 F.upf
CELL_PARAMETERS angstrom
-3.469 3.469 4.166
3.469 -3.469 4.166
3.469 3.469 -4.166
ATOMIC_POSITIONS crystal
Rb 0.250 0.750 0.500
Rb 0.750 0.250 0.500
Ti 0.000 0.000 0.000
Ge 0.500 0.500 0.000
F 0.196 0.196 0.393
F 0.196 0.804 0.000
F 0.235 0.235 0.000
F 0.765 0.765 0.000
F 0.804 0.196 0.000
F 0.804 0.804 0.607
```